1.
Rb3TaI: optimized geometry, PBE-GGA.

Output
N(E_F): 9.2 states/eV/cell
Excess energy over the best structure of this formula in the dataset: 0 meV/atom
Crystal system: cubic
Formation energy from raw total energies: 0.771 eV per atom
E_tot: -12.45 eV/cell
Total moment: 4.997 μB per formula unit

Geometry as POSCAR:
```
Rb3TaI
1.0
-6.391 -0.380 -2.409
0.355 -6.830 0.134
-2.413 0.000 6.401
I Rb Ta
1 3 1
direct
0.000 0.000 0.000
0.000 0.500 0.000
0.000 0.000 0.500
0.500 0.000 0.000
0.500 0.500 0.500
```

***

2.
Pm2Sm3Ho: optimized geometry, PBE-GGA.

Output
DFT formation energy: 0.003 eV/atom
N(E_F): 12.7 states/eV/cell
Excess energy over the best structure of this formula in the dataset: 0 meV/atom
Crystal system: hexagonal
E_tot: -56.43 eV/cell
Total moment: 0.000 μB per formula unit

Geometry as POSCAR:
```
Pm2Sm3Ho
1.0
6.290 0.000 0.000
-3.145 5.448 0.000
0.000 0.000 11.715
Pm Sm Ho
4 6 2
direct
0.667 0.333 0.000
0.333 0.667 0.500
0.333 0.667 0.000
0.667 0.333 0.500
0.669 0.669 0.750
0.000 0.331 0.750
0.331 0.000 0.750
0.331 0.331 0.250
0.000 0.669 0.250
0.669 0.000 0.250
0.000 0.000 0.000
0.000 0.000 0.500
```

***

3.
La2HoScS6: optimized geometry, PBE-GGA.

Output
N(E_F): 0.0 states/eV/cell
Crystal system: monoclinic
Formation energy from raw total energies: -2.109 eV per atom
E_tot: -133.23 eV/cell
Total moment: 0.000 μB per formula unit

Geometry as POSCAR:
```
La2HoScS6
1.0
6.694 0.000 0.019
0.000 7.315 0.000
0.086 0.000 9.833
La Ho Sc S
4 2 2 12
direct
0.035 0.907 0.251
0.535 0.593 0.751
0.965 0.093 0.749
0.465 0.407 0.249
0.500 0.000 0.500
0.000 0.500 0.000
0.500 0.000 0.000
0.000 0.500 0.500
0.325 0.694 0.066
0.825 0.806 0.566
0.675 0.306 0.934
0.175 0.194 0.434
0.312 0.684 0.435
0.812 0.816 0.935
0.688 0.316 0.565
0.188 0.184 0.065
0.869 0.543 0.257
0.369 0.957 0.757
0.131 0.457 0.743
0.631 0.043 0.243
```

***

4.
In2P: optimized geometry, PBE-GGA.

Output
DFT formation energy: 0.349 eV/atom
N(E_F): 2.7 states/eV/cell
Excess energy over the best structure of this formula in the dataset: 384 meV/atom
Crystal system: hexagonal
E_tot: -39.36 eV/cell
Total moment: 0.000 μB per formula unit

Geometry as POSCAR:
```
In2P
1.0
-2.086 7.460 0.785
-4.458 -4.876 -4.119
-4.590 -2.062 7.408
P In
4 8
direct
0.333 0.667 0.885
0.667 0.333 0.385
0.667 0.333 0.115
0.333 0.667 0.615
0.000 0.000 0.000
0.000 0.000 0.500
0.842 0.684 0.250
0.158 0.316 0.750
0.316 0.158 0.250
0.842 0.158 0.250
0.158 0.842 0.750
0.684 0.842 0.750
```

***

5.
Nd14TmHg: optimized geometry, PBE-GGA.

Output
DFT formation energy: -0.027 eV/atom
N(E_F): 17.2 states/eV/cell
Crystal system: orthorhombic
E_tot: -71.95 eV/cell
Total moment: 0.000 μB per formula unit

Geometry as POSCAR:
```
Nd14TmHg
1.0
-0.561 -7.143 -0.859
7.192 -0.522 -0.277
0.303 -1.258 10.263
Nd Tm Hg
14 1 1
direct
0.381 0.619 0.500
0.874 0.126 0.500
0.887 0.657 0.000
0.866 0.613 0.500
0.343 0.113 0.000
0.387 0.134 0.500
0.626 0.876 0.757
0.626 0.876 0.243
0.124 0.374 0.757
0.124 0.374 0.243
0.128 0.872 0.739
0.128 0.872 0.261
0.630 0.370 0.772
0.630 0.370 0.228
0.374 0.626 0.000
0.873 0.127 0.000
```

***

6.
LaCdB: optimized geometry, PBE-GGA.

Output
DFT formation energy: 0.543 eV/atom
N(E_F): 6.0 states/eV/cell
Excess energy over the best structure of this formula in the dataset: 892 meV/atom
Crystal system: hexagonal
E_tot: -21.78 eV/cell
Total moment: 0.000 μB per formula unit

Geometry as POSCAR:
```
LaCdB
1.0
0.214 0.539 -4.092
-2.137 -3.176 1.557
-8.446 5.842 0.327
B Cd La
2 2 2
direct
0.000 0.000 0.250
0.000 0.000 0.750
0.333 0.667 0.250
0.667 0.333 0.750
0.000 0.000 0.000
0.000 0.000 0.500
```

***

7.
PmSm2Er: optimized geometry, PBE-GGA.

Output
DFT formation energy: 0.017 eV/atom
N(E_F): 5.1 states/eV/cell
Excess energy over the best structure of this formula in the dataset: 1 meV/atom
Crystal system: trigonal
E_tot: -18.68 eV/cell
Total moment: 0.000 μB per formula unit

Geometry as POSCAR:
```
PmSm2Er
1.0
-3.262 1.424 0.562
-2.933 -2.086 -0.182
-1.111 -2.562 11.593
Pm Sm Er
1 2 1
direct
0.000 0.000 0.000
0.751 0.751 0.746
0.249 0.249 0.254
0.500 0.500 0.500
```

***

8.
La4Nd3Pt4: optimized geometry, PBE-GGA.

Output
DFT formation energy: -0.792 eV/atom
N(E_F): 12.1 states/eV/cell
Crystal system: orthorhombic
E_tot: -66.88 eV/cell
Total moment: 0.000 μB per formula unit

Geometry as POSCAR:
```
La4Nd3Pt4
1.0
4.845 0.000 0.000
0.000 7.827 0.000
-2.423 -3.914 8.097
La Nd Pt
4 3 4
direct
0.334 0.112 0.667
0.666 0.445 0.333
0.666 0.888 0.333
0.334 0.555 0.667
0.093 0.093 0.187
0.907 0.907 0.813
0.000 0.500 0.000
0.198 0.698 0.396
0.802 0.302 0.604
0.500 0.814 0.000
0.500 0.186 0.000
```

***

Repeat the fourth record exactly.
In2P: optimized geometry, PBE-GGA.

Output
DFT formation energy: 0.349 eV/atom
N(E_F): 2.7 states/eV/cell
Excess energy over the best structure of this formula in the dataset: 384 meV/atom
Crystal system: hexagonal
E_tot: -39.36 eV/cell
Total moment: 0.000 μB per formula unit

Geometry as POSCAR:
```
In2P
1.0
-2.086 7.460 0.785
-4.458 -4.876 -4.119
-4.590 -2.062 7.408
P In
4 8
direct
0.333 0.667 0.885
0.667 0.333 0.385
0.667 0.333 0.115
0.333 0.667 0.615
0.000 0.000 0.000
0.000 0.000 0.500
0.842 0.684 0.250
0.158 0.316 0.750
0.316 0.158 0.250
0.842 0.158 0.250
0.158 0.842 0.750
0.684 0.842 0.750
```